(1)
A plane-wave DFT calculation with PBE was carried out for a relaxed Mg2TlF crystal.

Output
* formation energy without anion corrections: -4.21 eV/f.u.
* polymorph energy (0 for the lowest one): 0.000 eV/atom
* total magnetization: 0.00 μB/f.u.

Unit cell a=5.9970 b=5.9970 c=5.9970 alpha=112.26 beta=112.26 gamma=104.04
Element x y z (fractional)
Mg 0.0206 0.6250 0.8956
Mg 0.3750 0.2706 0.3956
Mg 0.7294 0.1250 0.1044
Mg 0.8750 0.9794 0.6044
Tl 0.2500 0.7500 0.5000
Tl 0.5000 0.5000 0.0000
F 0.0000 0.0000 0.0000
F 0.7500 0.2500 0.5000

***

(2)
A plane-wave DFT calculation with PBE was carried out for a relaxed Li2ZrZnAg crystal.

Output
* ΔE_f: 0.43 eV per atom
* total magnetization: 0.00 μB/f.u.

Unit cell a=4.5457 b=4.5457 c=5.1662 alpha=90.00 beta=90.00 gamma=90.00
Element x y z (fractional)
Li 0.0000 0.5000 0.0000
Li 0.5000 0.0000 0.0000
Zr 0.0000 0.0000 0.5000
Zn 0.0000 0.0000 0.0000
Ag 0.5000 0.5000 0.5000

***

(3)
A plane-wave DFT calculation with PBE was carried out for a relaxed NaErSn2Br8 crystal.

Output
* formation energy without anion corrections: -14.96 eV/f.u.
* total magnetization: 0.00 μB/f.u.

Unit cell a=6.7683 b=8.7071 c=7.1440 alpha=90.00 beta=91.30 gamma=90.00
Element x y z (fractional)
Na 0.0000 0.0000 0.0000
Er 0.0000 0.5000 0.0000
Sn 0.5000 0.2469 0.5000
Sn 0.5000 0.7531 0.5000
Br 0.2329 0.2641 0.1534
Br 0.2328 0.5000 0.6813
Br 0.2329 0.7359 0.1534
Br 0.2710 0.0000 0.6544
Br 0.7290 0.0000 0.3456
Br 0.7671 0.2641 0.8466
Br 0.7672 0.5000 0.3187
Br 0.7671 0.7359 0.8466

***

> What is the formula in the third record?

NaErSn2Br8